Entry P
DFT (PBE) results for a geometry-optimized Be3As2 structure.

Output
SG: R-3c
size of the total moment: 0.000 μB/f.u.

Unit cell a=5.7878 b=5.7878 c=5.8707 alpha=60.47 beta=60.47 gamma=60.00
Fractional positions:
Be 0.9906 0.7500 0.7500
As 0.6112 0.6112 0.1664
As 0.8888 0.8888 0.3336
As 0.3888 0.3888 0.8336
Be 0.4906 0.0094 0.2500
Be 0.2500 0.4906 0.2500
As 0.1112 0.1112 0.6664
Be 0.0094 0.2500 0.2500
Be 0.5094 0.9906 0.7500
Be 0.7500 0.5094 0.7500


Entry Q
DFT (PBE) results for a geometry-optimized Be3As2 structure.

Output
SG: P-3m1
size of the total moment: 0.000 μB/f.u.

Unit cell a=3.6423 b=3.6423 c=6.0076 alpha=90.00 beta=90.00 gamma=120.00
Fractional positions:
Be 0.3333 0.6667 0.3888
Be 0.0000 0.0000 0.0000
Be 0.6667 0.3333 0.6112
As 0.3333 0.6667 0.7677
As 0.6667 0.3333 0.2323


Entry R
DFT (PBE) results for a geometry-optimized Be3As2 structure.

Output
SG: Fdd2
size of the total moment: 0.000 μB/f.u.

Unit cell a=12.0781 b=10.7592 c=5.7440 alpha=88.67 beta=62.94 gamma=28.39
Fractional positions:
Be 0.4271 0.4224 0.7668
As 0.9234 0.2289 0.4700
Be 0.4832 0.8662 0.8229
As 0.0211 0.3266 0.8723
As 0.3777 0.4700 0.2289
Be 0.1380 0.3620 0.3620
Be 0.8276 0.8229 0.8662
Be 0.8880 0.1120 0.1120
Be 0.3838 0.7668 0.4224
As 0.7800 0.8723 0.3266


Which one sits at the bottom of the stability order? entry R does.


Entry P
DFT (PBE) results for a geometry-optimized BeAs structure.

Output
SG: Cmmm
size of the total moment: 0.000 μB/f.u.

Unit cell a=3.0092 b=3.0092 c=3.4006 alpha=90.00 beta=90.00 gamma=110.65
Fractional positions:
As 0.0000 0.0000 0.0000
Be 0.5000 0.5000 0.5000


Entry Q
DFT (PBE) results for a geometry-optimized BeAs structure.

Output
SG: Pmmn
size of the total moment: 0.000 μB/f.u.

Unit cell a=3.2941 b=4.8496 c=3.5331 alpha=90.00 beta=90.00 gamma=90.00
Fractional positions:
As 0.5000 0.5000 0.7137
Be 0.0000 0.5000 0.2124
As 0.0000 0.0000 0.1197
Be 0.5000 0.0000 0.6210


Entry R
DFT (PBE) results for a geometry-optimized BeAs structure.

Output
SG: P2_1/m
size of the total moment: 0.000 μB/f.u.

Unit cell a=2.8007 b=3.6995 c=7.2525 alpha=90.00 beta=90.20 gamma=90.00
Fractional positions:
Be 0.7491 0.2500 0.9608
As 0.2523 0.2500 0.2302
As 0.7477 0.7500 0.7698
Be 0.2509 0.7500 0.0392


Which one sits at the bottom of the stability order? entry P does.